V2NiPd | GGA-PBE | optimized geometry

Energy of formation from the pure elements in eV per atom: -0.17
Distance to the lowest polymorph of the same formula in eV/atom: 0.000
Symmetry: No. 123
M_tot in μB per formula unit: 0.000
Calculated density in Mg/m³: 8.45

Cell lengths 2.624, 2.624, 7.620 Å; angles 90.00, 90.00, 90.00 degrees
Fractional coordinates of all 4 atoms:
V: 0.000 0.000 0.764
V: 0.000 0.000 0.236
Ni: 0.500 0.500 0.000
Pd: 0.500 0.500 0.500